--- 1 ---
A relaxed La6Tl2Ag crystal. Source: Alexandria via LeMat-Bulk, functional PBE.

Output
DOS at the Fermi energy: 1.326 states/eV/atom

```
La6Tl2Ag
1.0
6.495 0.000 0.000
0.000 8.835 0.000
-5.937 0.000 10.509
La Tl Ag
12 4 2
direct
0.064 0.153 0.451
0.064 0.347 0.951
0.352 0.694 0.443
0.352 0.806 0.943
0.407 0.035 0.278
0.407 0.465 0.778
0.593 0.535 0.222
0.593 0.965 0.722
0.648 0.194 0.057
0.648 0.306 0.557
0.936 0.653 0.049
0.936 0.847 0.549
0.158 0.126 0.759
0.158 0.374 0.259
0.842 0.626 0.741
0.842 0.874 0.241
0.000 0.000 0.000
0.000 0.500 0.500
```

***

--- 2 ---
A relaxed La6Tl2Ag crystal. Source: Alexandria via LeMat-Bulk, functional PBE.

Output
DOS at the Fermi energy: 1.546 states/eV/atom

```
La6Tl2Ag
1.0
9.325 0.000 0.000
-4.662 8.076 0.000
0.000 0.000 3.867
La Tl Ag
6 2 1
direct
0.000 0.397 0.000
0.000 0.732 0.500
0.268 0.268 0.500
0.397 0.000 0.000
0.603 0.603 0.000
0.732 0.000 0.500
0.333 0.667 0.500
0.667 0.333 0.500
0.000 0.000 0.000
```

***

If we sort the structures by their calculated energies, the order from most to least stable is 2, 1.

***

--- 1 ---
A relaxed La3TlAg crystal. Source: Alexandria via LeMat-Bulk, functional PBE.

Output
DOS at the Fermi energy: 2.828 states/eV/atom

```
La3TlAg
1.0
5.794 0.000 0.000
0.000 5.794 0.000
0.000 0.000 5.794
La Tl Ag
3 1 1
direct
0.000 0.000 0.500
0.000 0.500 0.000
0.500 0.000 0.000
0.500 0.500 0.500
0.000 0.000 0.000
```

***

--- 2 ---
A relaxed La3TlAg crystal. Source: Alexandria via LeMat-Bulk, functional PBE.

Output
DOS at the Fermi energy: 1.242 states/eV/atom

```
La3TlAg
1.0
7.757 0.000 0.000
0.000 7.757 0.000
0.000 0.000 7.757
La Tl Ag
9 3 3
direct
0.000 0.000 0.000
0.267 0.267 0.267
0.267 0.267 0.733
0.267 0.733 0.267
0.267 0.733 0.733
0.733 0.267 0.267
0.733 0.267 0.733
0.733 0.733 0.267
0.733 0.733 0.733
0.000 0.000 0.500
0.000 0.500 0.000
0.500 0.000 0.000
0.000 0.500 0.500
0.500 0.000 0.500
0.500 0.500 0.000
```

***

If we sort the structures by their calculated energies, the order from most to least stable is 2, 1.